Material: CoSnNO
Method: DFT, PBE with a Hubbard U
State: optimized geometry

## Properties
distance to the lowest polymorph of the same formula	86.5	meV/atom

Cell: 3.7254 3.7254 9.0186 Å, 90.00 90.00 90.00°
With the nearest neighbours (Å) after each atom.
Space group P4/nmm (No. 129, origin choice 2)
Symmetry-distinct sites (fractional):
Co 0.2500 0.7500 0.0000 x2  4 N 1.92
Sn 0.2500 0.2500 0.3664 x2  4 O 2.22
N 0.2500 0.2500 0.9494 x2  4 Co 1.92
O 0.2500 0.7500 0.5000 x2  4 Sn 2.22

---

Material: CoSnNO
Method: DFT, PBE with a Hubbard U
State: optimized geometry

## Properties
distance to the lowest polymorph of the same formula	85.8	meV/atom

Cell: 4.5276 4.5276 4.4978 Å, 90.00 90.00 90.00°
With the nearest neighbours (Å) after each atom.
Space group P4/nmm (No. 129, origin choice 2)
Symmetry-distinct sites (fractional):
Co 0.2500 0.2500 0.9997 x2  2 N 2.24-2.25, 4 O 2.26
Sn 0.2500 0.7500 0.5000 x2  2 O 2.25, 4 N 2.26
N 0.2500 0.2500 0.4987 x2  2 Co 2.24-2.25, 4 Sn 2.26
O 0.2500 0.7500 0.0000 x2  2 Sn 2.25, 4 Co 2.26

---

Material: CoSnNO
Method: DFT, PBE with a Hubbard U
State: optimized geometry

## Properties
distance to the lowest polymorph of the same formula	26.7	meV/atom

Cell: 3.5618 5.7900 5.5517 Å, 90.00 90.00 90.00°
With the nearest neighbours (Å) after each atom.
Space group Pmc2_1 (No. 26)
Symmetry-distinct sites (fractional):
Co 0.0000 0.1788 0.0000 x2  2 N 2.05, 2 O 2.09
Sn 0.5000 0.3226 0.5113 x2  2 N 2.14-2.15, 2 O 2.15
N 0.5000 0.3235 0.8983 x2  2 Co 2.05, 2 Sn 2.14-2.15
O 0.0000 0.1614 0.3759 x2  2 Co 2.09, 2 Sn 2.15